{"formula": "CdSb", "functional": "PBE-GGA", "state": "optimized geometry", "crystal_system": "orthorhombic", "e_form_raw_mev_per_atom": 103, "dos_ef_per_ev_cell": 6.87, "relative_energy_mev_per_atom": 149, "dft_energy_ev_per_atom": -2.416, "lattice_angstrom": [[4.389, 0.000, 0.000], [0.000, 5.689, 0.000], [0.000, 0.000, 13.046]], "species": ["Sb", "Sb", "Sb", "Sb", "Sb", "Sb", "Cd", "Cd", "Cd", "Cd", "Cd", "Cd"], "frac_coords": [[0.500, 0.377, 0.000], [0.000, 0.624, 0.167], [0.500, 0.376, 0.333], [0.500, 0.376, 0.667], [0.000, 0.623, 0.500], [0.000, 0.624, 0.833], [0.000, 0.001, 0.000], [0.000, 0.001, 0.333], [0.500, 0.999, 0.500], [0.000, 0.001, 0.667], [0.500, 0.999, 0.833], [0.500, 0.999, 0.167]]}